Gd2TmH: optimized geometry, GGA-PBE.

energy above the most stable polymorph in this dataset: 0.994 eV/f.u.
D(E_F): 4.42 states/eV/cell
space-group type: No. 123
uncorrected energy: -35.7 eV per cell

Cell and atoms, written as POSCAR:
```
Gd2TmH
1.0
3.3414 0.0000 0.0000
0.0000 3.3414 0.0000
0.0000 0.0000 8.4802
Gd H Tm
2 1 1
direct
0.0000 0.0000 0.8107
0.0000 0.0000 0.1893
0.5000 0.5000 0.0000
0.5000 0.5000 0.5000
```

***

GdTmH: optimized geometry, GGA-PBE.

energy above the most stable polymorph in this dataset: 0.488 eV/f.u.
D(E_F): 2.64 states/eV/cell
space-group type: No. 107
uncorrected energy: -22.2 eV per cell

Cell and atoms, written as POSCAR:
```
GdTmH
1.0
3.3263 0.0000 0.0000
0.0000 3.3263 0.0000
-1.6631 -1.6631 6.0032
H Gd Tm
1 1 1
direct
0.2209 0.2209 0.4417
0.0343 0.0343 0.0687
0.7448 0.7448 0.4896
```

***

Gd4Tm2H: optimized geometry, GGA-PBE.

D(E_F): 9.18 states/eV/cell
space-group type: No. 139
uncorrected energy: -68.0 eV per cell

Cell and atoms, written as POSCAR:
```
Gd4Tm2H
1.0
-1.8236 0.6298 -4.4361
-3.9365 -2.5127 1.2615
-6.6498 6.2555 0.9841
H Gd Tm
1 4 2
direct
0.0000 0.0000 0.0000
0.3506 0.3506 0.2989
0.6494 0.6494 0.7011
0.0000 0.5000 0.0000
0.5000 0.0000 0.0000
0.8513 0.8513 0.2974
0.1487 0.1487 0.7026
```

***

GdTmH: optimized geometry, GGA-PBE.

energy above the most stable polymorph in this dataset: 0.000 eV/f.u.
D(E_F): 11.99 states/eV/cell
space-group type: No. 14
uncorrected energy: -90.9 eV per cell

Cell and atoms, written as POSCAR:
```
GdTmH
1.0
6.8259 0.0000 -1.2987
0.0000 5.5630 0.0000
-3.7435 0.0000 7.6488
H Tm Gd
4 4 4
direct
0.0302 0.4986 0.1583
0.9698 0.5014 0.8417
0.5302 0.0014 0.6583
0.4698 0.9986 0.3417
0.3461 0.7542 0.7157
0.8461 0.7458 0.2157
0.1539 0.2542 0.7843
0.6539 0.2458 0.2843
0.2349 0.7447 0.0907
0.7349 0.7553 0.5907
0.7651 0.2553 0.9093
0.2651 0.2447 0.4093
```

***

GdUH: optimized geometry, GGA-PBE.

D(E_F): 17.90 states/eV/cell
space-group type: No. 11
uncorrected energy: -114.4 eV per cell

Cell and atoms, written as POSCAR:
```
GdUH
1.0
-3.3017 0.8193 0.9123
-0.4036 -7.3705 5.1582
2.5153 3.6378 5.8360
Gd H U
4 4 4
direct
0.7500 0.8693 0.6425
0.7500 0.3693 0.6425
0.2500 0.1307 0.3575
0.2500 0.6307 0.3575
0.2500 0.2431 0.8254
0.7500 0.7569 0.1746
0.2500 0.7431 0.8254
0.7500 0.2569 0.1746
0.7500 0.5858 0.9408
0.7500 0.0858 0.9408
0.2500 0.9142 0.0592
0.2500 0.4142 0.0592
```

***

GdVH3: optimized geometry, GGA-PBE.

D(E_F): 1.64 states/eV/cell
space-group type: No. 221
uncorrected energy: -34.8 eV per cell

Cell and atoms, written as POSCAR:
```
GdVH3
1.0
3.6564 0.0000 0.0000
0.0000 3.6564 0.0000
0.0000 0.0000 3.6564
H V Gd
3 1 1
direct
0.0000 0.0000 0.5000
0.5000 0.0000 0.0000
0.0000 0.5000 0.0000
0.0000 0.0000 0.0000
0.5000 0.5000 0.5000
```

***

GdVH2: optimized geometry, GGA-PBE.

D(E_F): 4.04 states/eV/cell
space-group type: No. 166
uncorrected energy: -29.9 eV per cell

Cell and atoms, written as POSCAR:
```
GdVH2
1.0
3.0717 0.0000 0.0000
1.5358 2.6601 0.0000
1.5358 0.8867 5.4123
Gd V H
1 1 2
direct
0.5000 0.5000 0.5000
0.0000 0.0000 0.0000
0.2811 0.2811 0.1566
0.7189 0.7189 0.8434
```

***

GdV2H: optimized geometry, GGA-PBE.

D(E_F): 4.62 states/eV/cell
space-group type: No. 166
uncorrected energy: -33.8 eV per cell

Cell and atoms, written as POSCAR:
```
GdV2H
1.0
2.8531 0.0000 0.0000
1.4266 2.4709 0.0000
1.4266 0.8236 7.9451
Gd V H
1 2 1
direct
0.0000 0.0000 0.0000
0.1187 0.1187 0.6439
0.8813 0.8813 0.3561
0.5000 0.5000 0.5000
```

***

no.,ρ (g cm⁻³)
1,8.5
2,8.2
3,8.1
4,8.3
5,11.3
6,7.2
7,7.9
8,7.7